Entry 1:
Material: TbPmNp2S4
Method: DFT, PBE-GGA
State: relaxed

Results
**Space group**: P2/m
**DFT total energy**: -65.39 eV for the cell shown
**N(E_F)**: 16.281 states/eV per cell
**Magnetization**: 8.64 μB/f.u.

a b c (Å): 6.811 3.946 6.853
angles (deg): 90.00 109.46 90.00
Fractional coordinates of all 8 atoms:
Tb 0.000 0.000 0.000
Pm 0.000 0.500 0.500
Np 0.500 0.000 0.500
Np 0.500 0.500 0.000
S 0.255 0.500 0.247
S 0.258 0.000 0.757
S 0.742 0.000 0.243
S 0.745 0.500 0.753

Entry 2:
Material: Pm3NpTl3S8
Method: DFT, PBE-GGA
State: relaxed

Results
**Space group**: R-3m
**DFT total energy**: -88.65 eV for the cell shown
**N(E_F)**: 4.290 states/eV per cell
**Magnetization**: 3.00 μB/f.u.

a b c (Å): 8.921 8.921 8.921
angles (deg): 54.95 54.95 54.95
Fractional coordinates of all 15 atoms:
Pm 0.000 0.500 0.500
Pm 0.500 0.000 0.500
Pm 0.500 0.500 0.000
Np 0.000 0.000 0.000
Tl 0.000 0.000 0.500
Tl 0.000 0.500 0.000
Tl 0.500 0.000 0.000
S 0.225 0.225 0.745
S 0.225 0.745 0.225
S 0.255 0.775 0.775
S 0.266 0.266 0.266
S 0.734 0.734 0.734
S 0.745 0.225 0.225
S 0.775 0.255 0.775
S 0.775 0.775 0.255

Entry 3:
Material: Pm3NpTl4S8
Method: DFT, PBE-GGA
State: relaxed

Results
**Space group**: R-3m
**DFT total energy**: -91.20 eV for the cell shown
**N(E_F)**: 6.029 states/eV per cell
**Magnetization**: 4.00 μB/f.u.

a b c (Å): 8.889 8.889 8.889
angles (deg): 55.43 55.43 55.43
Fractional coordinates of all 16 atoms:
Pm 0.000 0.500 0.500
Pm 0.500 0.000 0.500
Pm 0.500 0.500 0.000
Np 0.000 0.000 0.000
Tl 0.000 0.000 0.500
Tl 0.000 0.500 0.000
Tl 0.500 0.000 0.000
Tl 0.500 0.500 0.500
S 0.231 0.231 0.738
S 0.231 0.738 0.231
S 0.262 0.769 0.769
S 0.266 0.266 0.266
S 0.734 0.734 0.734
S 0.738 0.231 0.231
S 0.769 0.262 0.769
S 0.769 0.769 0.262

Entry 4:
Material: PmNp3Tl4S8
Method: DFT, PBE-GGA
State: relaxed

Results
**Space group**: R-3m
**DFT total energy**: -104.14 eV for the cell shown
**N(E_F)**: 26.826 states/eV per cell
**Magnetization**: 12.00 μB/f.u.

a b c (Å): 8.864 8.864 8.864
angles (deg): 54.91 54.91 54.91
Fractional coordinates of all 16 atoms:
Pm 0.000 0.000 0.000
Np 0.000 0.500 0.500
Np 0.500 0.000 0.500
Np 0.500 0.500 0.000
Tl 0.000 0.000 0.500
Tl 0.000 0.500 0.000
Tl 0.500 0.000 0.000
Tl 0.500 0.500 0.500
S 0.236 0.236 0.726
S 0.236 0.726 0.236
S 0.270 0.270 0.270
S 0.274 0.764 0.764
S 0.726 0.236 0.236
S 0.730 0.730 0.730
S 0.764 0.274 0.764
S 0.764 0.764 0.274

Entry 5:
Material: Pm2NpTl3S6
Method: DFT, PBE-GGA
State: relaxed

Results
**Space group**: C2/m
**DFT total energy**: -69.97 eV for the cell shown
**N(E_F)**: 6.625 states/eV per cell
**Magnetization**: 4.00 μB/f.u.

a b c (Å): 7.153 7.153 7.866
angles (deg): 98.72 98.72 120.00
Fractional coordinates of all 12 atoms:
Pm 0.167 0.833 0.000
Pm 0.833 0.167 0.000
Np 0.500 0.500 0.000
Tl 0.000 0.000 0.500
Tl 0.333 0.667 0.500
Tl 0.667 0.333 0.500
S 0.105 0.433 0.799
S 0.239 0.239 0.202
S 0.433 0.105 0.799
S 0.567 0.895 0.201
S 0.761 0.761 0.798
S 0.895 0.567 0.201

Entry 6:
Material: Pm2NpTl2S6
Method: DFT, PBE-GGA
State: relaxed

Results
**Space group**: C2/m
**DFT total energy**: -67.38 eV for the cell shown
**N(E_F)**: 6.889 states/eV per cell
**Magnetization**: 3.00 μB/f.u.

a b c (Å): 7.090 7.090 7.903
angles (deg): 98.80 98.80 119.83
Fractional coordinates of all 11 atoms:
Pm 0.166 0.834 0.000
Pm 0.834 0.166 0.000
Np 0.500 0.500 0.000
Tl 0.331 0.669 0.500
Tl 0.669 0.331 0.500
S 0.113 0.436 0.804
S 0.251 0.251 0.198
S 0.436 0.113 0.804
S 0.564 0.887 0.196
S 0.749 0.749 0.802
S 0.887 0.564 0.196

Entry 7:
Material: PmNp2Tl3S6
Method: DFT, PBE-GGA
State: relaxed

Results
**Space group**: C2/m
**DFT total energy**: -76.45 eV for the cell shown
**N(E_F)**: 21.624 states/eV per cell
**Magnetization**: 8.00 μB/f.u.

a b c (Å): 7.082 7.082 7.874
angles (deg): 98.61 98.61 119.99
Fractional coordinates of all 12 atoms:
Pm 0.000 0.000 0.000
Np 0.333 0.667 0.000
Np 0.667 0.333 0.000
Tl 0.166 0.834 0.500
Tl 0.500 0.500 0.500
Tl 0.834 0.166 0.500
S 0.066 0.408 0.197
S 0.277 0.277 0.804
S 0.408 0.066 0.197
S 0.592 0.934 0.803
S 0.723 0.723 0.196
S 0.934 0.592 0.803

Entry 8:
Material: PmTmNp2S4
Method: DFT, PBE-GGA
State: relaxed

Results
**Space group**: P2/m
**DFT total energy**: -64.88 eV for the cell shown
**N(E_F)**: 19.213 states/eV per cell
**Magnetization**: 0.17 μB/f.u.

a b c (Å): 6.757 3.930 6.844
angles (deg): 90.00 109.62 90.00
Fractional coordinates of all 8 atoms:
Pm 0.000 0.000 0.000
Tm 0.000 0.500 0.500
Np 0.500 0.000 0.500
Np 0.500 0.500 0.000
S 0.248 0.000 0.743
S 0.254 0.500 0.260
S 0.746 0.500 0.740
S 0.752 0.000 0.257

Entry 9:
Material: Pm2YNpS4
Method: DFT, PBE-GGA
State: relaxed

Results
**Space group**: P2/m
**DFT total energy**: -60.31 eV for the cell shown
**N(E_F)**: 11.195 states/eV per cell
**Magnetization**: 4.44 μB/f.u.

a b c (Å): 6.877 3.963 6.904
angles (deg): 90.00 109.27 90.00
Fractional coordinates of all 8 atoms:
Pm 0.000 0.000 0.000
Pm 0.500 0.500 0.000
Y 0.000 0.500 0.500
Np 0.500 0.000 0.500
S 0.246 0.000 0.740
S 0.254 0.500 0.261
S 0.746 0.500 0.739
S 0.754 0.000 0.260

Entry 10:
Material: PmNpSb2
Method: DFT, PBE-GGA
State: relaxed

Results
**Space group**: R3m
**DFT total energy**: -28.25 eV for the cell shown
**N(E_F)**: 8.772 states/eV per cell
**Magnetization**: 3.95 μB/f.u.

a b c (Å): 7.971 7.971 7.971
angles (deg): 32.05 32.05 32.05
Fractional coordinates of all 4 atoms:
Pm 0.000 0.000 0.000
Np 0.171 0.171 0.171
Sb 0.582 0.582 0.582
Sb 0.756 0.756 0.756

Entry 11:
Material: Pm2NpSb3
Method: DFT, PBE-GGA
State: relaxed

Results
**Space group**: C2/m
**DFT total energy**: -79.82 eV for the cell shown
**N(E_F)**: 24.926 states/eV per cell
**Magnetization**: 3.88 μB/f.u.

a b c (Å): 7.721 7.721 7.738
angles (deg): 99.57 99.57 120.02
Fractional coordinates of all 12 atoms:
Pm 0.000 0.000 0.000
Pm 0.165 0.835 0.500
Pm 0.500 0.500 0.500
Pm 0.835 0.165 0.500
Np 0.333 0.667 0.000
Np 0.667 0.333 0.000
Sb 0.082 0.420 0.245
Sb 0.257 0.257 0.755
Sb 0.420 0.082 0.245
Sb 0.580 0.918 0.755
Sb 0.743 0.743 0.245
Sb 0.918 0.580 0.755

Entry 12:
Material: PmNpSb2
Method: DFT, PBE-GGA
State: relaxed

Results
**Space group**: P4/mmm
**DFT total energy**: -28.07 eV for the cell shown
**N(E_F)**: 10.651 states/eV per cell
**Magnetization**: 4.62 μB/f.u.

a b c (Å): 5.771 5.771 3.279
angles (deg): 90.00 90.00 90.00
Fractional coordinates of all 4 atoms:
Pm 0.000 0.000 0.000
Np 0.500 0.500 0.000
Sb 0.000 0.500 0.500
Sb 0.500 0.000 0.500

Entry 13:
Material: PmNpSb2
Method: DFT, PBE-GGA
State: relaxed

Results
**Space group**: R-3m
**DFT total energy**: -28.67 eV for the cell shown
**N(E_F)**: 11.693 states/eV per cell
**Magnetization**: 3.92 μB/f.u.

a b c (Å): 7.740 7.740 7.740
angles (deg): 33.27 33.27 33.27
Fractional coordinates of all 4 atoms:
Pm 0.000 0.000 0.000
Np 0.500 0.500 0.500
Sb 0.248 0.248 0.248
Sb 0.752 0.752 0.752

Entry 14:
Material: PmNpSb2
Method: DFT, PBE-GGA
State: relaxed

Results
**Space group**: Fm-3m
**DFT total energy**: -27.81 eV for the cell shown
**N(E_F)**: 13.523 states/eV per cell
**Magnetization**: 4.43 μB/f.u.

a b c (Å): 5.391 5.391 5.391
angles (deg): 60.00 60.00 60.00
Fractional coordinates of all 4 atoms:
Pm 0.000 0.000 0.000
Np 0.500 0.500 0.500
Sb 0.250 0.250 0.250
Sb 0.750 0.750 0.750

Entry 15:
Material: PmNp2Sb3
Method: DFT, PBE-GGA
State: relaxed

Results
**Space group**: Immm
**DFT total energy**: -46.10 eV for the cell shown
**N(E_F)**: 23.478 states/eV per cell
**Magnetization**: 7.88 μB/f.u.

a b c (Å): 7.682 7.682 7.682
angles (deg): 146.59 131.92 59.81
Fractional coordinates of all 6 atoms:
Pm 0.000 0.000 0.000
Np 0.335 0.335 0.000
Np 0.665 0.665 0.000
Sb 0.171 0.671 0.500
Sb 0.500 0.000 0.500
Sb 0.829 0.329 0.500

Entry 16:
Material: PmNpSbTe
Method: DFT, PBE-GGA
State: relaxed

Results
**Space group**: F-43m
**DFT total energy**: -27.64 eV for the cell shown
**N(E_F)**: 14.543 states/eV per cell
**Magnetization**: 4.93 μB/f.u.

a b c (Å): 5.408 5.408 5.408
angles (deg): 60.00 60.00 60.00
Fractional coordinates of all 4 atoms:
Pm 0.000 0.000 0.000
Np 0.500 0.500 0.500
Sb 0.250 0.250 0.250
Te 0.750 0.750 0.750

Entry 17:
Material: Pm2TmNpSb4
Method: DFT, PBE-GGA
State: relaxed

Results
**Space group**: P2/m
**DFT total energy**: -50.59 eV for the cell shown
**N(E_F)**: 11.819 states/eV per cell
**Magnetization**: 3.89 μB/f.u.

a b c (Å): 7.669 4.428 7.679
angles (deg): 90.00 109.31 90.00
Fractional coordinates of all 8 atoms:
Pm 0.000 0.000 0.000
Pm 0.500 0.500 0.000
Tm 0.000 0.500 0.500
Np 0.500 0.000 0.500
Sb 0.246 0.000 0.740
Sb 0.251 0.500 0.258
Sb 0.749 0.500 0.742
Sb 0.754 0.000 0.260

Entry 18:
Material: PmNp2Se6
Method: DFT, PBE-GGA
State: relaxed

Results
**Space group**: C2/m
**DFT total energy**: -61.49 eV for the cell shown
**N(E_F)**: 21.870 states/eV per cell
**Magnetization**: 5.01 μB/f.u.

a b c (Å): 7.479 7.479 9.311
angles (deg): 124.80 124.80 42.59
Fractional coordinates of all 9 atoms:
Pm 0.000 0.000 0.000
Np 0.183 0.183 0.603
Np 0.817 0.817 0.397
Se 0.045 0.045 0.726
Se 0.264 0.264 0.382
Se 0.371 0.371 0.955
Se 0.629 0.629 0.045
Se 0.736 0.736 0.618
Se 0.955 0.955 0.274

Entry 19:
Material: Pm5Np2Se12
Method: DFT, PBE-GGA
State: relaxed

Results
**Space group**: C2/m
**DFT total energy**: -120.50 eV for the cell shown
**N(E_F)**: 13.958 states/eV per cell
**Magnetization**: 5.00 μB/f.u.

a b c (Å): 8.981 8.981 9.440
angles (deg): 105.69 105.69 51.26
Fractional coordinates of all 19 atoms:
Pm 0.000 0.000 0.000
Pm 0.294 0.294 0.137
Pm 0.314 0.314 0.677
Pm 0.686 0.686 0.323
Pm 0.706 0.706 0.863
Np 0.256 0.744 0.500
Np 0.744 0.256 0.500
Se 0.006 0.006 0.306
Se 0.092 0.557 0.408
Se 0.105 0.600 0.935
Se 0.400 0.895 0.065
Se 0.443 0.908 0.592
Se 0.497 0.497 0.278
Se 0.503 0.503 0.722
Se 0.557 0.092 0.408
Se 0.600 0.105 0.935
Se 0.895 0.400 0.065
Se 0.908 0.443 0.592
Se 0.994 0.994 0.694

Entry 20:
Material: PmNpSe2
Method: DFT, PBE-GGA
State: relaxed

Results
**Space group**: R-3m
**DFT total energy**: -30.50 eV for the cell shown
**N(E_F)**: 9.250 states/eV per cell
**Magnetization**: 4.46 μB/f.u.

a b c (Å): 7.177 7.177 7.177
angles (deg): 33.61 33.61 33.61
Fractional coordinates of all 4 atoms:
Pm 0.000 0.000 0.000
Np 0.500 0.500 0.500
Se 0.247 0.247 0.247
Se 0.753 0.753 0.753

Entry 21:
Material: Pm4NpSe5
Method: DFT, PBE-GGA
State: relaxed

Results
**Space group**: I4/mmm
**DFT total energy**: -66.20 eV for the cell shown
**N(E_F)**: 11.530 states/eV per cell
**Magnetization**: 4.47 μB/f.u.

a b c (Å): 15.083 15.083 15.083
angles (deg): 164.08 164.08 22.58
Fractional coordinates of all 10 atoms:
Pm 0.100 0.100 0.000
Pm 0.303 0.303 0.000
Pm 0.697 0.697 0.000
Pm 0.900 0.900 0.000
Np 0.500 0.500 0.000
Se 0.000 0.000 0.000
Se 0.201 0.201 0.000
Se 0.402 0.402 0.000
Se 0.598 0.598 0.000
Se 0.799 0.799 0.000

Entry 22:
Material: PmNpSe2
Method: DFT, PBE-GGA
State: relaxed

Results
**Space group**: R3m
**DFT total energy**: -30.14 eV for the cell shown
**N(E_F)**: 10.229 states/eV per cell
**Magnetization**: 4.59 μB/f.u.

a b c (Å): 7.796 7.796 7.796
angles (deg): 29.60 29.60 29.60
Fractional coordinates of all 4 atoms:
Pm 0.000 0.000 0.000
Np 0.827 0.827 0.827
Se 0.414 0.414 0.414
Se 0.580 0.580 0.580

Entry 23:
Material: PmNpSe
Method: DFT, PBE-GGA
State: relaxed

Results
**Space group**: P2_1/m
**DFT total energy**: -47.40 eV for the cell shown
**N(E_F)**: 7.195 states/eV per cell
**Magnetization**: 2.48 μB/f.u.

a b c (Å): 4.316 3.840 8.544
angles (deg): 90.00 90.01 90.00
Fractional coordinates of all 6 atoms:
Pm 0.247 0.250 0.357
Pm 0.753 0.750 0.643
Np 0.184 0.750 0.005
Np 0.816 0.250 0.995
Se 0.256 0.250 0.720
Se 0.744 0.750 0.280